The following is a DFT calculation (PBE) of Cs4Pr3ZrTe8 after structural relaxation.

Unit cell a=9.1849 b=9.1849 c=26.9165 alpha=90.00 beta=90.00 gamma=120.00
Last column: nearest neighbours and their distance in Å.
Space group R-3m (No. 166, hexagonal axes)
Asymmetric unit:
Cs 0.0000 0.0000 0.0000 [3 per cell]  6 Te 3.95
Cs 0.0000 0.5000 0.0000 [9 per cell]  6 Te 3.78
Pr 0.0000 0.5000 0.5000 [9 per cell]  6 Te 3.20-3.23
Zr 0.0000 0.0000 0.5000 [3 per cell]  6 Te 3.02
Te 0.0000 0.0000 0.2335 [6 per cell]  3 Pr 3.20
Te 0.0202 0.5101 0.2304 [18 per cell]  1 Zr 3.02, 2 Pr 3.23

Properties
- raw formation energy (eV/atom) = -1.28
- M_tot (μB per cell) = 2.021